Density functional theory data (PBE-GGA) for a relaxed structure of La2BeAl.

Cell: 9.2565 3.7163 6.6477 Å, 90.00 103.01 90.00°
Last column: nearest neighbours and their distance in Å.
Fractional positions:
La: 0.2425 0.0000 0.2278  3 Be 3.04-3.10, 3 Al 3.18-3.23
La: 0.2575 0.5000 0.7722  3 Be 3.04-3.10, 3 Al 3.18-3.23
La: 0.7425 0.5000 0.2278  3 Be 3.04-3.10, 3 Al 3.18-3.23
La: 0.7575 0.0000 0.7722  3 Be 3.04-3.10, 3 Al 3.18-3.23
Be: 0.0000 0.5000 0.0000  6 La 3.04-3.10
Be: 0.5000 0.0000 0.0000  6 La 3.04-3.10
Al: 0.0000 0.0000 0.5000  6 La 3.18-3.23
Al: 0.5000 0.5000 0.5000  6 La 3.18-3.23

Values from the calculation:
Relative energy among the computed polymorphs ... 0.363 eV/atom
Total DFT energy (no corrections) ... -16.32 eV/f.u.
Formation energy ... 0.251 eV/atom